## LiCa2H6Rh (PBE-GGA)

Data for a relaxed LiCa2H6Rh crystal.

Calculated values
DFT total energy	-3.810	eV per atom
density of states at the Fermi level	2.2	states/eV/f.u.

Cell and atoms, written as POSCAR:
```
LiCa2H6Rh
1.0
5.0723 0.0000 0.0000
-2.5361 4.3927 0.0000
0.0000 0.0000 4.7762
Li Ca H Rh
1 2 6 1
Cartesian
0.0000 0.0000 0.0000
0.0000 2.9285 1.3378
2.5361 1.4642 3.4385
0.0000 1.4327 3.4348
-1.2954 3.6764 3.4348
1.2408 0.7163 1.3414
1.2954 3.6764 3.4348
3.8315 0.7163 1.3414
2.5361 2.9600 1.3414
0.0000 0.0000 2.3881
```